# CrHgMo2O8 GGA+U relaxed
# Magnetization (μB per atom): 0.18
# Density (Mg/m³): 4.63
# Energy (eV/atom): -6.555
data_CrHgMo2O8
_symmetry_space_group_name_H-M 'C 1 2/m 1'
_symmetry_Int_Tables_number 12
_cell_length_a 9.294
_cell_length_b 5.834
_cell_length_c 7.573
_cell_angle_alpha 90.00
_cell_angle_beta 90.37
_cell_angle_gamma 90.00
loop_
_symmetry_equiv_pos_as_xyz
'x,y,z'
'-x,-y,-z'
'-x,y,-z'
'x,-y,z'
'x+1/2,y+1/2,z'
'-x+1/2,-y+1/2,-z'
'-x+1/2,y+1/2,-z'
'x+1/2,-y+1/2,z'
loop_
_atom_site_label
_atom_site_type_symbol
_atom_site_fract_x
_atom_site_fract_y
_atom_site_fract_z
Cr1 Cr 0.000 0.000 0.000
Hg1 Hg 0.000 0.000 0.500
Mo1 Mo 0.146 0.500 0.213
O1 O 0.036 0.242 0.184
O2 O 0.208 0.000 0.940
O3 O 0.214 0.500 0.429